{
  "formula": "CdIr15",
  "functional": "PBE",
  "state": "optimized geometry",
  "m_tot_mub_per_cell": 0.01,
  "e_above_lowest_polymorph_mev_per_atom": 3,
  "cell": [[3.8737, 0.0000, 0.0000], [0.0000, 7.7390, 0.0000], [0.0000, 0.0000, 44.2903]],
  "species": ["Cd", "Cd", "Cd", "Cd", "Ir", "Ir", "Ir", "Ir", "Ir", "Ir", "Ir", "Ir", "Ir", "Ir", "Ir", "Ir", "Ir", "Ir", "Ir", "Ir", "Ir", "Ir", "Ir", "Ir", "Ir", "Ir", "Ir", "Ir", "Ir", "Ir", "Ir", "Ir", "Ir", "Ir", "Ir", "Ir", "Ir", "Ir", "Ir", "Ir", "Ir", "Ir", "Ir", "Ir", "Ir", "Ir", "Ir", "Ir", "Ir", "Ir", "Ir", "Ir", "Ir", "Ir", "Ir", "Ir", "Ir", "Ir", "Ir", "Ir", "Ir", "Ir", "Ir", "Ir"],
  "fractional_positions": [[0.7500, 0.3619, 0.1618], [0.2500, 0.6381, 0.1618], [0.2500, 0.3618, 0.8382], [0.7500, 0.6382, 0.8382], [0.2500, 0.1172, 0.1748], [0.7500, 0.8828, 0.1748], [0.2500, 0.3759, 0.2161], [0.7500, 0.6241, 0.2161], [0.7500, 0.1286, 0.2162], [0.2500, 0.8714, 0.2162], [0.7500, 0.3753, 0.2590], [0.2500, 0.6247, 0.2590], [0.2500, 0.1245, 0.2596], [0.7500, 0.8755, 0.2596], [0.2500, 0.3738, 0.3028], [0.7500, 0.6262, 0.3028], [0.7500, 0.1235, 0.3035], [0.2500, 0.8765, 0.3035], [0.7500, 0.3755, 0.3469], [0.2500, 0.6245, 0.3469], [0.2500, 0.1256, 0.3471], [0.7500, 0.8744, 0.3471], [0.2500, 0.3749, 0.3907], [0.7500, 0.6251, 0.3907], [0.7500, 0.1248, 0.3907], [0.2500, 0.8752, 0.3907], [0.7500, 0.3748, 0.4343], [0.2500, 0.6252, 0.4343], [0.2500, 0.1248, 0.4345], [0.7500, 0.8752, 0.4345], [0.2500, 0.3750, 0.4781], [0.7500, 0.6250, 0.4781], [0.7500, 0.1251, 0.4782], [0.2500, 0.8749, 0.4782], [0.2500, 0.1251, 0.5218], [0.7500, 0.8749, 0.5218], [0.7500, 0.3750, 0.5219], [0.2500, 0.6250, 0.5219], [0.7500, 0.1248, 0.5655], [0.2500, 0.8752, 0.5655], [0.2500, 0.3748, 0.5657], [0.7500, 0.6252, 0.5657], [0.2500, 0.1248, 0.6093], [0.7500, 0.8752, 0.6093], [0.7500, 0.3749, 0.6093], [0.2500, 0.6251, 0.6093], [0.7500, 0.1256, 0.6529], [0.2500, 0.8744, 0.6529], [0.2500, 0.3755, 0.6531], [0.7500, 0.6245, 0.6531], [0.2500, 0.1235, 0.6965], [0.7500, 0.8765, 0.6965], [0.7500, 0.3738, 0.6972], [0.2500, 0.6262, 0.6972], [0.7500, 0.1245, 0.7404], [0.2500, 0.8755, 0.7404], [0.2500, 0.3753, 0.7410], [0.7500, 0.6247, 0.7410], [0.2500, 0.1286, 0.7838], [0.7500, 0.8714, 0.7838], [0.7500, 0.3760, 0.7839], [0.2500, 0.6240, 0.7839], [0.7500, 0.1174, 0.8252], [0.2500, 0.8826, 0.8252]]
}

***

{
  "formula": "CdIr8",
  "functional": "PBE",
  "state": "optimized geometry",
  "m_tot_mub_per_cell": 0.02,
  "total_energy_ev_per_atom": -7.78,
  "cell": [[4.3160, -1.9268, 0.0000], [4.3160, 1.9268, 0.0000], [-0.0417, 0.0000, 29.5917]],
  "species": ["Cd", "Cd", "Ir", "Ir", "Ir", "Ir", "Ir", "Ir", "Ir", "Ir", "Ir", "Ir", "Ir", "Ir", "Ir", "Ir", "Ir", "Ir"],
  "fractional_positions": [[0.0480, 0.0480, 0.2577], [0.9520, 0.9520, 0.7423], [0.6503, 0.6503, 0.0141], [0.9508, 0.9508, 0.0438], [0.2516, 0.2516, 0.0735], [0.5525, 0.5525, 0.1023], [0.8527, 0.8527, 0.1316], [0.1518, 0.1518, 0.1614], [0.4494, 0.4494, 0.1894], [0.7477, 0.7477, 0.2172], [0.2523, 0.2523, 0.7828], [0.5506, 0.5506, 0.8106], [0.8482, 0.8482, 0.8386], [0.1473, 0.1473, 0.8684], [0.4475, 0.4475, 0.8977], [0.7484, 0.7484, 0.9265], [0.0492, 0.0492, 0.9562], [0.3497, 0.3497, 0.9859]]
}

***

{
  "formula": "CdIr7",
  "functional": "PBE",
  "state": "optimized geometry",
  "m_tot_mub_per_cell": 0.00,
  "total_energy_ev_per_atom": -7.77,
  "cell": [[2.7460, 0.0000, 0.0000], [0.0000, 3.8583, 0.0000], [0.0000, 0.0000, 35.2467]],
  "species": ["Cd", "Cd", "Ir", "Ir", "Ir", "Ir", "Ir", "Ir", "Ir", "Ir", "Ir", "Ir", "Ir", "Ir", "Ir", "Ir"],
  "fractional_positions": [[0.0000, 0.0000, 0.2016], [0.5000, 0.5000, 0.7984], [0.5000, 0.5000, 0.2487], [0.0000, 0.0000, 0.2863], [0.5000, 0.5000, 0.3253], [0.0000, 0.0000, 0.3647], [0.5000, 0.5000, 0.4029], [0.0000, 0.0000, 0.4416], [0.5000, 0.5000, 0.4808], [0.0000, 0.0000, 0.5192], [0.5000, 0.5000, 0.5584], [0.0000, 0.0000, 0.5971], [0.5000, 0.5000, 0.6353], [0.0000, 0.0000, 0.6747], [0.5000, 0.5000, 0.7137], [0.0000, 0.0000, 0.7513]]
}

***

{
  "formula": "CdIr124",
  "functional": "PBE",
  "state": "optimized geometry",
  "m_tot_mub_per_cell": 0.03,
  "total_energy_ev_per_atom": -8.79,
  "cell": [[11.5826, -2.9253, 6.7164], [12.1204, 1.7816, -6.1436], [8.3142, 10.1142, 4.0497]],
  "species": ["Cd", "Ir", "Ir", "Ir", "Ir", "Ir", "Ir", "Ir", "Ir", "Ir", "Ir", "Ir", "Ir", "Ir", "Ir", "Ir", "Ir", "Ir", "Ir", "Ir", "Ir", "Ir", "Ir", "Ir", "Ir", "Ir", "Ir", "Ir", "Ir", "Ir", "Ir", "Ir", "Ir", "Ir", "Ir", "Ir", "Ir", "Ir", "Ir", "Ir", "Ir", "Ir", "Ir", "Ir", "Ir", "Ir", "Ir", "Ir", "Ir", "Ir", "Ir", "Ir", "Ir", "Ir", "Ir", "Ir", "Ir", "Ir", "Ir", "Ir", "Ir", "Ir", "Ir", "Ir", "Ir", "Ir", "Ir", "Ir", "Ir", "Ir", "Ir", "Ir", "Ir", "Ir", "Ir", "Ir", "Ir", "Ir", "Ir", "Ir", "Ir", "Ir", "Ir", "Ir", "Ir", "Ir", "Ir", "Ir", "Ir", "Ir", "Ir", "Ir", "Ir", "Ir", "Ir", "Ir", "Ir", "Ir", "Ir", "Ir", "Ir", "Ir", "Ir", "Ir", "Ir", "Ir", "Ir", "Ir", "Ir", "Ir", "Ir", "Ir", "Ir", "Ir", "Ir", "Ir", "Ir", "Ir", "Ir", "Ir", "Ir", "Ir", "Ir", "Ir", "Ir"],
  "fractional_positions": [[0.0000, 0.0000, 0.0000], [0.2039, 0.0000, 0.0000], [0.4014, 0.0000, 0.0000], [0.5986, 0.0000, 0.0000], [0.7961, 0.0000, 0.0000], [0.5998, 0.2001, 0.0000], [0.2001, 0.2001, 0.0000], [0.3998, 0.2003, 0.0000], [0.0000, 0.2039, 0.0000], [0.7961, 0.2039, 0.0000], [0.2003, 0.3998, 0.0000], [0.3998, 0.3998, 0.0000], [0.7999, 0.4002, 0.0000], [0.0000, 0.4014, 0.0000], [0.5986, 0.4014, 0.0000], [0.4014, 0.5986, 0.0000], [0.0000, 0.5986, 0.0000], [0.2001, 0.5998, 0.0000], [0.7997, 0.6002, 0.0000], [0.6002, 0.6002, 0.0000], [0.2039, 0.7961, 0.0000], [0.0000, 0.7961, 0.0000], [0.6002, 0.7997, 0.0000], [0.7999, 0.7999, 0.0000], [0.4002, 0.7999, 0.0000], [0.8006, 0.1994, 0.1994], [0.1994, 0.8006, 0.1994], [0.8006, 0.8006, 0.1994], [0.6000, 0.6000, 0.1999], [0.2000, 0.2000, 0.2000], [0.3999, 0.2000, 0.2000], [0.2000, 0.3999, 0.2000], [0.5998, 0.0000, 0.2001], [0.0000, 0.5998, 0.2001], [0.0000, 0.2001, 0.2001], [0.5998, 0.2001, 0.2001], [0.2001, 0.5998, 0.2001], [0.2001, 0.0000, 0.2001], [0.7999, 0.3999, 0.2001], [0.3999, 0.7999, 0.2001], [0.7999, 0.6001, 0.2001], [0.6001, 0.7999, 0.2001], [0.6001, 0.3999, 0.2001], [0.3999, 0.6001, 0.2001], [0.3998, 0.3998, 0.2003], [0.3998, 0.0000, 0.2003], [0.0000, 0.3998, 0.2003], [0.0000, 0.0000, 0.2039], [0.0000, 0.7961, 0.2039], [0.7961, 0.0000, 0.2039], [0.3998, 0.0000, 0.3998], [0.3998, 0.2003, 0.3998], [0.2003, 0.3998, 0.3998], [0.0000, 0.3998, 0.3998], [0.2003, 0.0000, 0.3998], [0.0000, 0.2003, 0.3998], [0.6001, 0.2001, 0.3999], [0.2001, 0.6001, 0.3999], [0.6001, 0.7999, 0.3999], [0.7999, 0.6001, 0.3999], [0.7999, 0.2001, 0.3999], [0.2001, 0.7999, 0.3999], [0.2000, 0.2000, 0.3999], [0.4000, 0.4000, 0.4000], [0.4000, 0.8001, 0.4000], [0.8001, 0.4000, 0.4000], [0.5999, 0.4001, 0.4001], [0.4001, 0.5999, 0.4001], [0.5999, 0.5999, 0.4001], [0.7999, 0.0000, 0.4002], [0.0000, 0.7999, 0.4002], [0.7999, 0.7999, 0.4002], [0.0000, 0.0000, 0.4014], [0.5986, 0.0000, 0.4014], [0.0000, 0.5986, 0.4014], [0.4014, 0.0000, 0.5986], [0.0000, 0.4014, 0.5986], [0.0000, 0.0000, 0.5986], [0.2001, 0.2001, 0.5998], [0.2001, 0.0000, 0.5998], [0.0000, 0.2001, 0.5998], [0.4001, 0.4001, 0.5999], [0.5999, 0.4001, 0.5999], [0.4001, 0.5999, 0.5999], [0.6000, 0.1999, 0.6000], [0.1999, 0.6000, 0.6000], [0.6000, 0.6000, 0.6000], [0.8000, 0.8000, 0.6001], [0.7999, 0.2001, 0.6001], [0.2001, 0.7999, 0.6001], [0.3999, 0.2001, 0.6001], [0.2001, 0.3999, 0.6001], [0.3999, 0.7999, 0.6001], [0.7999, 0.3999, 0.6001], [0.0000, 0.6002, 0.6002], [0.7997, 0.6002, 0.6002], [0.6002, 0.0000, 0.6002], [0.7997, 0.0000, 0.6002], [0.6002, 0.7997, 0.6002], [0.0000, 0.7997, 0.6002], [0.2039, 0.0000, 0.7961], [0.0000, 0.2039, 0.7961], [0.0000, 0.0000, 0.7961], [0.6002, 0.0000, 0.7997], [0.0000, 0.6002, 0.7997], [0.6002, 0.6002, 0.7997], [0.6001, 0.3999, 0.7999], [0.3999, 0.6001, 0.7999], [0.3999, 0.2001, 0.7999], [0.2001, 0.3999, 0.7999], [0.6001, 0.2001, 0.7999], [0.2001, 0.6001, 0.7999], [0.7999, 0.0000, 0.7999], [0.0000, 0.7999, 0.7999], [0.7999, 0.4002, 0.7999], [0.4002, 0.7999, 0.7999], [0.0000, 0.4002, 0.7999], [0.4002, 0.0000, 0.7999], [0.8000, 0.6001, 0.8000], [0.6001, 0.8000, 0.8000], [0.8000, 0.8000, 0.8000], [0.4000, 0.4000, 0.8001], [0.1994, 0.1994, 0.8006], [0.8006, 0.1994, 0.8006], [0.1994, 0.8006, 0.8006]]
}

***

{
  "formula": "Cd2Ir",
  "functional": "PBE",
  "state": "optimized geometry",
  "m_tot_mub_per_cell": 0.00,
  "total_energy_ev_per_atom": -3.27,
  "cell": [[0.0000, 3.1777, 3.1777], [3.1777, 0.0000, 3.1777], [3.1777, 3.1777, 0.0000]],
  "species": ["Cd", "Cd", "Ir"],
  "fractional_positions": [[0.2500, 0.2500, 0.2500], [0.7500, 0.7500, 0.7500], [0.0000, 0.0000, 0.0000]]
}

***

{
  "formula": "CdIr15",
  "functional": "PBE",
  "state": "optimized geometry",
  "m_tot_mub_per_cell": 0.00,
  "e_above_lowest_polymorph_mev_per_atom": 55,
  "cell": [[-4.3999, -2.9615, -1.3135], [-0.2578, -1.2329, 3.6434], [-21.0785, 27.8151, 7.9212]],
  "species": ["Cd", "Cd", "Ir", "Ir", "Ir", "Ir", "Ir", "Ir", "Ir", "Ir", "Ir", "Ir", "Ir", "Ir", "Ir", "Ir", "Ir", "Ir", "Ir", "Ir", "Ir", "Ir", "Ir", "Ir", "Ir", "Ir", "Ir", "Ir", "Ir", "Ir", "Ir", "Ir"],
  "fractional_positions": [[0.1251, 0.2500, 0.2027], [0.8749, 0.7500, 0.7973], [0.6253, 0.2500, 0.2152], [0.8694, 0.7500, 0.2518], [0.3805, 0.7500, 0.2518], [0.1249, 0.2500, 0.2891], [0.6248, 0.2500, 0.2894], [0.8749, 0.7500, 0.3279], [0.3750, 0.7500, 0.3280], [0.6250, 0.2500, 0.3658], [0.1251, 0.2500, 0.3658], [0.8747, 0.7500, 0.4042], [0.3753, 0.7500, 0.4043], [0.1248, 0.2500, 0.4422], [0.6251, 0.2500, 0.4426], [0.3749, 0.7500, 0.4807], [0.8752, 0.7500, 0.4809], [0.1248, 0.2500, 0.5191], [0.6251, 0.2500, 0.5193], [0.3749, 0.7500, 0.5574], [0.8752, 0.7500, 0.5578], [0.6247, 0.2500, 0.5957], [0.1253, 0.2500, 0.5958], [0.8749, 0.7500, 0.6342], [0.3750, 0.7500, 0.6342], [0.6250, 0.2500, 0.6720], [0.1251, 0.2500, 0.6721], [0.3752, 0.7500, 0.7106], [0.8751, 0.7500, 0.7109], [0.6195, 0.2500, 0.7482], [0.1306, 0.2500, 0.7482], [0.3747, 0.7500, 0.7848]]
}